1.
A plane-wave DFT calculation with GGA-PBE was carried out for an optimized crystal structure of ErHf2Pa.

Summary:
D(E_F) = 18.8 states/eV/cell
Total energy = -99.93 eV/cell
Calculated formation energy = 0.1640 eV per atom
ΔE to the lowest computed polymorph = 9 meV/atom

Cell: 3.2601 3.2601 32.5069 Å, 90.00 90.00 120.00°
Closest atoms and distances in Å follow each position.
Element x y z (fractional)
Er  0.0000  0.0000  0.0000  6 Er 3.26, 6 Hf 3.37
Er  0.3333  0.6667  0.6667  6 Er 3.26, 6 Hf 3.37
Er  0.6667  0.3333  0.3333  6 Er 3.26, 6 Hf 3.37
Hf  0.0000  0.0000  0.2473  3 Pa 3.23, 6 Hf 3.26, 3 Er 3.37
Hf  0.0000  0.0000  0.7527  3 Pa 3.23, 6 Hf 3.26, 3 Er 3.37
Hf  0.3333  0.6667  0.4193  3 Pa 3.23, 6 Hf 3.26, 3 Er 3.37
Hf  0.3333  0.6667  0.9140  3 Pa 3.23, 6 Hf 3.26, 3 Er 3.37
Hf  0.6667  0.3333  0.0860  3 Pa 3.23, 6 Hf 3.26, 3 Er 3.37
Hf  0.6667  0.3333  0.5807  3 Pa 3.23, 6 Hf 3.26, 3 Er 3.37
Pa  0.0000  0.0000  0.5000  6 Hf 3.23, 6 Pa 3.26
Pa  0.3333  0.6667  0.1667  6 Hf 3.23, 6 Pa 3.26
Pa  0.6667  0.3333  0.8333  6 Hf 3.23, 6 Pa 3.26



2.
A plane-wave DFT calculation with GGA-PBE was carried out for an optimized crystal structure of Er2HfPa.

Summary:
D(E_F) = 39.7 states/eV/cell
Total energy = -107.84 eV/cell
Calculated formation energy = 0.4041 eV per atom

Cell: 7.5432 7.5432 7.5432 Å, 90.00 90.00 90.00°
Closest atoms and distances in Å follow each position.
Element x y z (fractional)
Er  0.2500  0.2500  0.2500  4 Hf 3.27, 4 Pa 3.27
Er  0.2500  0.2500  0.7500  4 Hf 3.27, 4 Pa 3.27
Er  0.2500  0.7500  0.2500  4 Hf 3.27, 4 Pa 3.27
Er  0.2500  0.7500  0.7500  4 Hf 3.27, 4 Pa 3.27
Er  0.7500  0.2500  0.2500  4 Hf 3.27, 4 Pa 3.27
Er  0.7500  0.2500  0.7500  4 Hf 3.27, 4 Pa 3.27
Er  0.7500  0.7500  0.2500  4 Hf 3.27, 4 Pa 3.27
Er  0.7500  0.7500  0.7500  4 Hf 3.27, 4 Pa 3.27
Hf  0.0000  0.0000  0.0000  8 Er 3.27
Hf  0.0000  0.5000  0.5000  8 Er 3.27
Hf  0.5000  0.0000  0.5000  8 Er 3.27
Hf  0.5000  0.5000  0.0000  8 Er 3.27
Pa  0.0000  0.0000  0.5000  8 Er 3.27
Pa  0.0000  0.5000  0.0000  8 Er 3.27
Pa  0.5000  0.0000  0.0000  8 Er 3.27
Pa  0.5000  0.5000  0.5000  8 Er 3.27



3.
A plane-wave DFT calculation with GGA-PBE was carried out for an optimized crystal structure of ErHfPa2.

Summary:
D(E_F) = 8.8 states/eV/cell
Total energy = -32.67 eV/cell
Calculated formation energy = 0.2103 eV per atom
ΔE to the lowest computed polymorph = 31 meV/atom

Cell: 4.5169 4.5169 4.9717 Å, 90.00 90.00 90.00°
Closest atoms and distances in Å follow each position.
Element x y z (fractional)
Er  0.0000  0.0000  0.0000  4 Hf 3.19, 8 Pa 3.36
Hf  0.5000  0.5000  0.0000  4 Er 3.19, 8 Pa 3.36
Pa  0.0000  0.5000  0.5000  4 Pa 3.19, 4 Hf 3.36, 4 Er 3.36
Pa  0.5000  0.0000  0.5000  4 Pa 3.19, 4 Hf 3.36, 4 Er 3.36



4.
A plane-wave DFT calculation with GGA-PBE was carried out for an optimized crystal structure of ErHfPa2.

Summary:
D(E_F) = 8.4 states/eV/cell
Total energy = -32.79 eV/cell
Calculated formation energy = 0.1795 eV per atom
ΔE to the lowest computed polymorph = 0 meV/atom

Cell: 3.1697 3.1697 10.1276 Å, 90.00 90.00 90.00°
Closest atoms and distances in Å follow each position.
Element x y z (fractional)
Er  0.0000  0.0000  0.0000  4 Er 3.17, 8 Pa 3.48
Hf  0.0000  0.0000  0.5000  4 Hf 3.17, 8 Pa 3.29
Pa  0.5000  0.5000  0.2624  4 Pa 3.17, 4 Hf 3.29, 4 Er 3.48
Pa  0.5000  0.5000  0.7376  4 Pa 3.17, 4 Hf 3.29, 4 Er 3.48



5.
A plane-wave DFT calculation with GGA-PBE was carried out for an optimized crystal structure of ErHf2Pa.

Summary:
D(E_F) = 6.6 states/eV/cell
Total energy = -33.15 eV/cell
Calculated formation energy = 0.2046 eV per atom
ΔE to the lowest computed polymorph = 50 meV/atom

Cell: 4.6542 4.6542 4.5751 Å, 90.00 90.00 90.00°
Closest atoms and distances in Å follow each position.
Element x y z (fractional)
Er  0.0000  0.0000  0.0000  8 Hf 3.26, 4 Pa 3.29
Hf  0.0000  0.5000  0.5000  4 Pa 3.26, 4 Er 3.26, 4 Hf 3.29
Hf  0.5000  0.0000  0.5000  4 Pa 3.26, 4 Er 3.26, 4 Hf 3.29
Pa  0.5000  0.5000  0.0000  8 Hf 3.26, 4 Er 3.29



6.
A plane-wave DFT calculation with GGA-PBE was carried out for an optimized crystal structure of ErHf2Pa.

Summary:
D(E_F) = 6.1 states/eV/cell
Total energy = -33.35 eV/cell
Calculated formation energy = 0.1548 eV per atom
ΔE to the lowest computed polymorph = 0 meV/atom

Cell: 3.8068 3.8068 6.9892 Å, 90.00 90.00 90.00°
Closest atoms and distances in Å follow each position.
Element x y z (fractional)
Er  0.0000  0.0000  0.0000  8 Hf 3.36, 2 Pa 3.49
Hf  0.5000  0.5000  0.2883  1 Hf 2.96, 4 Pa 3.07
Hf  0.5000  0.5000  0.7117  1 Hf 2.96, 4 Pa 3.07
Pa  0.0000  0.0000  0.5000  8 Hf 3.07



Q: Which of these has the lowest calculated formation energy?
A: number 6



Q: Which value of D(E_F) does entry 2 give?
A: 39.7 states/eV/cell



Q: What is the total energy in the second record?
A: -107.84 eV/cell